(1)
! YZr4Ru5 PBE-GGA relaxed; values from VASP
&SYSTEM
  ibrav = 0, nat = 10, ntyp = 3
/
ATOMIC_SPECIES
Y 88.91 Y.upf
Zr 91.22 Zr.upf
Ru 101.07 Ru.upf
ATOMIC_POSITIONS crystal
Y 0.0000 0.0000 0.0000
Zr 0.0000 0.0000 0.2028
Zr 0.0000 0.0000 0.4011
Zr 0.0000 0.0000 0.5989
Zr 0.0000 0.0000 0.7972
Ru 0.5000 0.5000 0.1125
Ru 0.5000 0.5000 0.3054
Ru 0.5000 0.5000 0.5000
Ru 0.5000 0.5000 0.6946
Ru 0.5000 0.5000 0.8875
CELL_PARAMETERS angstrom
3.2945 0.0000 0.0000
0.0000 3.2945 0.0000
0.0000 0.0000 16.6568
! Fermi-level density of states: 0.22 states/eV per atom
! total energy: -9.304 eV/atom
! calculated density: 8.81 g cm⁻³
! energy relative to the elements: -601 meV per atom



(2)
! CoNiI6 PBE-GGA relaxed; values from VASP
&SYSTEM
  ibrav = 0, nat = 8, ntyp = 3
/
ATOMIC_SPECIES
Co 58.93 Co.upf
Ni 58.69 Ni.upf
I 126.90 I.upf
ATOMIC_POSITIONS crystal
Co 0.0000 0.0000 0.5000
Ni 0.0000 0.0000 0.0000
I 0.2928 0.9816 0.3018
I 0.9816 0.2928 0.3018
I 0.0184 0.7072 0.6982
I 0.7072 0.0184 0.6982
I 0.2563 0.2563 0.8310
I 0.7437 0.7437 0.1690
CELL_PARAMETERS angstrom
-5.5901 4.1595 -0.9700
0.0692 -5.1170 -4.8273
-2.3013 -3.5058 5.0549
! Fermi-level density of states: 0.41 states/eV per atom
! total energy: -2.815 eV/atom
! ΔE_f (raw): -0.042 eV per atom
! calculated density: 4.94 g cm⁻³



(3)
! LiLa2Sc PBE-GGA relaxed; values from VASP
&SYSTEM
  ibrav = 0, nat = 4, ntyp = 3
/
ATOMIC_SPECIES
La 138.91 La.upf
Li 6.94 Li.upf
Sc 44.96 Sc.upf
ATOMIC_POSITIONS crystal
La 0.0000 0.0000 0.0000
La 0.5000 0.5000 0.0000
Li 0.5000 0.0000 0.5000
Sc 0.0000 0.5000 0.5000
CELL_PARAMETERS angstrom
-1.1305 0.7017 3.3839
4.3951 -2.9851 2.0874
3.1554 4.7012 0.0793
! Fermi-level density of states: 1.58 states/eV per atom
! total energy: -4.335 eV/atom
! relative energy among the computed polymorphs: 102 meV per atom
! calculated density: 4.66 g cm⁻³
! energy relative to the elements: 190 meV per atom



(4)
! CsNaAu PBE-GGA relaxed; values from VASP
&SYSTEM
  ibrav = 0, nat = 3, ntyp = 3
/
ATOMIC_SPECIES
Cs 132.91 Cs.upf
Na 22.99 Na.upf
Au 196.97 Au.upf
ATOMIC_POSITIONS crystal
Cs 0.0169 0.0169 0.0338
Na 0.2767 0.2767 0.5534
Au 0.7064 0.7064 0.4128
CELL_PARAMETERS angstrom
4.1733 0.0000 0.0000
0.0000 4.1733 0.0000
-2.0867 -2.0867 6.6694
! Fermi-level density of states: 0.57 states/eV per atom
! total energy: -1.962 eV/atom
! relative energy among the computed polymorphs: 100 meV per atom
! calculated density: 5.04 g cm⁻³
! energy relative to the elements: -145 meV per atom



Number 1: calculated volume 18.1 A^3/atom. Number 2: calculated volume 37.0 A^3/atom. Number 3: calculated volume 29.4 A^3/atom. Number 4: calculated volume 38.7 A^3/atom.